# CeTm2O (PBE-GGA, relaxed)
data_CeTm2O
_chemical_formula_sum 'Ce1 Tm2 O1'
_cell_length_a 3.110
_cell_length_b 3.110
_cell_length_c 8.578
_cell_angle_alpha 90.00
_cell_angle_beta 90.00
_cell_angle_gamma 90.00
_space_group_name_H-M_alt 'P 4/m m m'
_space_group_IT_number 123
_space_group_name_Hall '-P 4 2'
loop_
_atom_site_label
_atom_site_fract_x
_atom_site_fract_y
_atom_site_fract_z
_atom_site_occupancy
Ce1 0.000 0.000 0.000 1
Tm1 0.500 0.500 0.321 1
O1 0.000 0.000 0.500 1
# ΔE_f (raw): -0.829 eV per atom
# Uncorrected energy: -5.7874 eV/atom
# Theoretical density: 9.9 Mg/m³
# Offset from the most stable computed form: 0.515 eV per atom

=====

# CeTm2O (PBE-GGA, relaxed)
data_CeTm2O
_chemical_formula_sum 'Ce3 Tm6 O3'
_cell_length_a 3.4052
_cell_length_b 3.4052
_cell_length_c 26.0152
_cell_angle_alpha 90.00
_cell_angle_beta 90.00
_cell_angle_gamma 120.00
_space_group_name_H-M_alt 'R -3 m'
_space_group_IT_number 166
_space_group_name_Hall '-R 3 2"'
loop_
_atom_site_label
_atom_site_fract_x
_atom_site_fract_y
_atom_site_fract_z
_atom_site_occupancy
Ce1 0.0000 0.0000 0.0000 1
Tm1 0.0000 0.0000 0.2205 1
O1 0.0000 0.0000 0.5000 1
# ΔE_f (raw): -1.344 eV per atom
# Uncorrected energy: -6.3023 eV/atom
# Theoretical density: 9.4 Mg/m³
# Offset from the most stable computed form: 0.000 eV per atom

=====

# Ce3TmO (PBE-GGA, relaxed)
data_Ce3TmO
_chemical_formula_sum 'Ce3 Tm1 O1'
_cell_length_a 4.928
_cell_length_b 4.928
_cell_length_c 4.928
_cell_angle_alpha 90.00
_cell_angle_beta 90.00
_cell_angle_gamma 90.00
_space_group_name_H-M_alt 'P m -3 m'
_space_group_IT_number 221
_space_group_name_Hall '-P 4 2 3'
loop_
_atom_site_label
_atom_site_fract_x
_atom_site_fract_y
_atom_site_fract_z
_atom_site_occupancy
Ce1 0.000 0.000 0.500 1
Tm1 0.500 0.500 0.500 1
O1 0.000 0.000 0.000 1
# ΔE_f (raw): -1.077 eV per atom
# Uncorrected energy: -6.5234 eV/atom
# Theoretical density: 8.4 Mg/m³

=====

# CeTmO (PBE-GGA, relaxed)
data_CeTmO
_chemical_formula_sum 'Ce1 Tm1 O1'
_cell_length_a 3.4794
_cell_length_b 3.4794
_cell_length_c 5.9472
_cell_angle_alpha 90.00
_cell_angle_beta 90.00
_cell_angle_gamma 120.00
_space_group_name_H-M_alt 'P 3 m 1'
_space_group_IT_number 156
loop_
_space_group_symop_operation_xyz
'x,y,z'
'-y,x-y,z'
'-x+y,-x,z'
'-y,-x,z'
'-x+y,y,z'
'x,x-y,z'
loop_
_atom_site_label
_atom_site_fract_x
_atom_site_fract_y
_atom_site_fract_z
_atom_site_occupancy
Ce1 0.0000 0.0000 0.0000 1
Tm1 0.3333 0.6667 0.4660 1
O1 0.6667 0.3333 0.2634 1
# ΔE_f (raw): -1.737 eV per atom
# Uncorrected energy: -6.8579 eV/atom
# Theoretical density: 8.7 Mg/m³

=====

# Ce4TmO10 (PBE-GGA, relaxed)
data_Ce4TmO10
_chemical_formula_sum 'Ce12 Tm3 O30'
_cell_length_a 3.8511
_cell_length_b 3.8511
_cell_length_c 47.0388
_cell_angle_alpha 90.00
_cell_angle_beta 90.00
_cell_angle_gamma 120.00
_space_group_name_H-M_alt 'R -3 m'
_space_group_IT_number 166
_space_group_name_Hall '-R 3 2"'
loop_
_atom_site_label
_atom_site_fract_x
_atom_site_fract_y
_atom_site_fract_z
_atom_site_occupancy
Ce1 0.0000 0.0000 0.1010 1
Ce2 0.0000 0.0000 0.2997 1
Tm1 0.0000 0.0000 0.5000 1
O1 0.0000 0.0000 0.0505 1
O2 0.0000 0.0000 0.1510 1
O3 0.0000 0.0000 0.2492 1
O4 0.0000 0.0000 0.3501 1
O5 0.0000 0.0000 0.4509 1
# ΔE_f (raw): -3.314 eV per atom
# Uncorrected energy: -8.5003 eV/atom
# Theoretical density: 7.3 Mg/m³

=====

# CeTmO3 (PBE-GGA, relaxed)
data_CeTmO3
_chemical_formula_sum 'Ce4 Tm4 O12'
_cell_length_a 6.025
_cell_length_b 8.406
_cell_length_c 5.804
_cell_angle_alpha 90.00
_cell_angle_beta 90.00
_cell_angle_gamma 90.00
_space_group_name_H-M_alt 'P n m a'
_space_group_IT_number 62
loop_
_space_group_symop_operation_xyz
'x,y,z'
'-x,-y,-z'
'-x+1/2,-y,z+1/2'
'x+1/2,y,-z+1/2'
'x+1/2,-y+1/2,-z+1/2'
'-x+1/2,y+1/2,z+1/2'
'-x,y+1/2,-z'
'x,-y+1/2,z'
loop_
_atom_site_label
_atom_site_fract_x
_atom_site_fract_y
_atom_site_fract_z
_atom_site_occupancy
Ce1 0.051 0.250 0.016 1
Tm1 0.000 0.000 0.500 1
O1 0.059 0.750 0.368 1
O2 0.191 0.569 0.811 1
# ΔE_f (raw): -3.432 eV per atom
# Uncorrected energy: -8.4884 eV/atom
# Theoretical density: 8.1 Mg/m³

=====

# CeTm3O (PBE-GGA, relaxed)
data_CeTm3O
_chemical_formula_sum 'Ce1 Tm3 O1'
_cell_length_a 4.865
_cell_length_b 4.865
_cell_length_c 4.865
_cell_angle_alpha 90.00
_cell_angle_beta 90.00
_cell_angle_gamma 90.00
_space_group_name_H-M_alt 'P m -3 m'
_space_group_IT_number 221
_space_group_name_Hall '-P 4 2 3'
loop_
_atom_site_label
_atom_site_fract_x
_atom_site_fract_y
_atom_site_fract_z
_atom_site_occupancy
Ce1 0.000 0.000 0.000 1
Tm1 0.000 0.500 0.500 1
O1 0.500 0.500 0.500 1
# ΔE_f (raw): -1.000 eV per atom
# Uncorrected energy: -5.8617 eV/atom
# Theoretical density: 9.6 Mg/m³

=====

# CeTm2UO8 (PBE-GGA, relaxed)
data_CeTm2UO8
_chemical_formula_sum 'Ce1 Tm2 U1 O8'
_cell_length_a 5.009
_cell_length_b 7.097
_cell_length_c 5.018
_cell_angle_alpha 90.00
_cell_angle_beta 91.09
_cell_angle_gamma 90.00
_space_group_name_H-M_alt 'P 1 2/m 1'
_space_group_IT_number 10
loop_
_space_group_symop_operation_xyz
'x,y,z'
'-x,-y,-z'
'-x,y,-z'
'x,-y,z'
loop_
_atom_site_label
_atom_site_fract_x
_atom_site_fract_y
_atom_site_fract_z
_atom_site_occupancy
Ce1 0.000 0.000 0.000 1
Tm1 0.500 0.248 0.500 1
U1 0.000 0.500 0.000 1
O1 0.186 0.269 0.813 1
O2 0.296 0.500 0.294 1
O3 0.308 0.000 0.306 1
# ΔE_f (raw): -3.429 eV per atom
# Uncorrected energy: -8.9149 eV/atom
# Theoretical density: 7.9 Mg/m³